Np4Tl3O12, optimized geometry, DFT PBE; SG = No. 229; formation energy without anion corrections = -2380 meV per atom; Fermi-level density of states = 0.77 states/eV per atom; total moment = 7.000 μB per cell; crystal system = cubic
1.0
-4.115 -1.978 -5.847
7.123 -1.577 -1.343
-2.270 -3.730 5.997
Np Tl O
4 3 12
Direct
0.500 0.500 0.500 Np
0.500 0.000 0.000 Np
0.000 0.000 0.500 Np
0.000 0.500 0.000 Np
0.500 0.500 0.000 Tl
0.000 0.500 0.500 Tl
0.500 0.000 0.500 Tl
0.252 0.748 0.999 O
0.748 0.252 0.001 O
0.252 0.252 0.504 O
0.252 0.001 0.748 O
0.999 0.252 0.748 O
0.496 0.748 0.748 O
0.748 0.496 0.748 O
0.001 0.748 0.252 O
0.748 0.748 0.496 O
0.748 0.999 0.252 O
0.504 0.252 0.252 O
0.252 0.504 0.252 O